# GGA-PBE Na3AgGe, optimized geometry
data_Na3AgGe
_chemical_formula_sum 'Na6 Ag2 Ge2'
_cell_length_a 6.455
_cell_length_b 6.455
_cell_length_c 7.053
_cell_angle_alpha 99.65
_cell_angle_beta 99.65
_cell_angle_gamma 110.70
_symmetry_space_group_name_H-M 'P 1'
_symmetry_Int_Tables_number 1
loop_
_symmetry_equiv_pos_as_xyz
'x,y,z'
loop_
_atom_site_label
_atom_site_type_symbol
_atom_site_fract_x
_atom_site_fract_y
_atom_site_fract_z
Na1 Na 0.069 0.560 0.253
Na2 Na 0.079 0.079 0.279
Na3 Na 0.440 0.931 0.747
Na4 Na 0.560 0.069 0.253
Na5 Na 0.921 0.921 0.721
Na6 Na 0.931 0.440 0.747
Ag1 Ag 0.417 0.417 0.652
Ag2 Ag 0.583 0.583 0.348
Ge1 Ge 0.319 0.319 0.986
Ge2 Ge 0.681 0.681 0.014
# DFT formation energy = -0.003 eV per atom
# Size of the total moment = 0.0000 μB per atom